[1]
# GdTmAl3Ge2

A geometry-optimized GdTmAl3Ge2 structure (PBE, OQMD via LeMat-Bulk).

Values from the calculation:
Crystal system: monoclinic
Total magnetization: 0.0 μB per formula unit
Final energy: -4.758 eV/atom
V: 19.84 Å³/atom
SG: No. 8

a = 5.5224 Å, b = 5.5224 Å, c = 6.7460 Å
α = 99.23°, β = 99.23°, γ = 43.25°
With the nearest neighbours (Å) after each atom.
Atoms (fractional coordinates):
Gd 0.0000 0.0000 0.0000  5 Ge 2.88-3.06, 2 Al 3.06
Tm 0.2333 0.2333 0.6332  5 Ge 2.88-3.06, 5 Al 3.03-3.21
Al 0.3137 0.3137 0.1946  2 Ge 2.68, 2 Al 2.74
Al 0.6181 0.6181 0.3190  2 Ge 2.77-2.80, 2 Tm 3.03, 4 Al 3.06-3.09, 2 Gd 3.06
Al 0.9189 0.9189 0.4425  2 Ge 2.65, 2 Al 2.74
Ge 0.5168 0.5168 0.6732  1 Ge 2.55, 3 Al 2.65-2.77
Ge 0.7164 0.7164 0.9564  1 Ge 2.55, 3 Al 2.68-2.80


[2]
# Gd3Al2Ni6H9

A geometry-optimized Gd3Al2Ni6H9 structure (PBE, OQMD via LeMat-Bulk).

Values from the calculation:
Crystal system: cubic
Total magnetization: 0.0 μB per formula unit
Final energy: -4.651 eV/atom
V: 9.75 Å³/atom
SG: No. 229

a = 7.9719 Å, b = 7.9719 Å, c = 7.9719 Å
α = 109.47°, β = 109.47°, γ = 109.47°
With the nearest neighbours (Å) after each atom.
Atoms (fractional coordinates):
Gd 0.0000 0.2707 0.2707  5 H 2.11-2.15
Gd 0.0000 0.7293 0.7293  5 H 2.11-2.15
Gd 0.2707 0.0000 0.2707  5 H 2.11-2.15
Gd 0.2707 0.2707 0.0000  5 H 2.11-2.15
Gd 0.7293 0.0000 0.7293  5 H 2.11-2.15
Gd 0.7293 0.7293 0.0000  5 H 2.11-2.15
Al 0.0000 0.0000 0.5000  2 H 1.85
Al 0.0000 0.5000 0.0000  2 H 1.85
Al 0.5000 0.0000 0.0000  2 H 1.85
Al 0.5000 0.5000 0.5000  2 H 1.85
Ni 0.0000 0.3374 0.6626  2 H 1.70
Ni 0.0000 0.6626 0.3374  2 H 1.70
Ni 0.3253 0.6626 0.6626  2 H 1.70
Ni 0.3374 0.0000 0.6626  2 H 1.70
Ni 0.3374 0.3374 0.6747  2 H 1.70
Ni 0.3374 0.6626 0.0000  2 H 1.70
Ni 0.3374 0.6747 0.3374  2 H 1.70
Ni 0.6626 0.0000 0.3374  2 H 1.70
Ni 0.6626 0.3253 0.6626  2 H 1.70
Ni 0.6626 0.3374 0.0000  2 H 1.70
Ni 0.6626 0.6626 0.3253  2 H 1.70
Ni 0.6747 0.3374 0.3374  2 H 1.70
H 0.0000 0.0000 0.0000  8 H 2.14
H 0.0000 0.0000 0.2679  1 Al 1.85
H 0.0000 0.0000 0.7321  1 Al 1.85
H 0.0000 0.2679 0.0000  1 Al 1.85
H 0.0000 0.5000 0.5000  2 Gd 2.11, 4 Ni 2.12, 4 H 2.30
H 0.0000 0.7321 0.0000  1 Al 1.85
H 0.2500 0.5000 0.7500  4 Ni 1.70
H 0.2500 0.7500 0.5000  4 Ni 1.70
H 0.2679 0.0000 0.0000  1 Al 1.85
H 0.2679 0.2679 0.2679  1 Al 1.85
H 0.5000 0.0000 0.5000  2 Gd 2.11, 4 Ni 2.12, 4 H 2.30
H 0.5000 0.2500 0.7500  4 Ni 1.70
H 0.5000 0.5000 0.0000  2 Gd 2.11, 4 Ni 2.12, 4 H 2.30
H 0.5000 0.7500 0.2500  4 Ni 1.70
H 0.7321 0.0000 0.0000  1 Al 1.85
H 0.7321 0.7321 0.7321  1 Al 1.85
H 0.7500 0.2500 0.5000  4 Ni 1.70
H 0.7500 0.5000 0.2500  4 Ni 1.70


[3]
# GdHfAl2Ni4

A geometry-optimized GdHfAl2Ni4 structure (PBE, OQMD via LeMat-Bulk).

Values from the calculation:
Crystal system: hexagonal
Total magnetization: 0.0 μB per formula unit
Final energy: -6.140 eV/atom
V: 15.44 Å³/atom
SG: No. 187

a = 4.1299 Å, b = 4.1299 Å, c = 8.3622 Å
α = 90.00°, β = 90.00°, γ = 120.00°
With the nearest neighbours (Å) after each atom.
Atoms (fractional coordinates):
Gd 0.0000 0.0000 0.0000  8 Ni 2.86-2.87
Hf 0.3333 0.6667 0.5000  8 Ni 2.59-2.72
Al 0.6667 0.3333 0.2662  6 Ni 2.47
Al 0.6667 0.3333 0.7338  6 Ni 2.47
Ni 0.0000 0.0000 0.3431  3 Al 2.47, 4 Ni 2.62-2.71, 3 Hf 2.72
Ni 0.0000 0.0000 0.6569  3 Al 2.47, 4 Ni 2.62-2.71, 3 Hf 2.72
Ni 0.3333 0.6667 0.1899  3 Al 2.47, 1 Hf 2.59, 3 Ni 2.71
Ni 0.3333 0.6667 0.8101  3 Al 2.47, 1 Hf 2.59, 3 Ni 2.71


[4]
# GdHfAl4Ni2

A geometry-optimized GdHfAl4Ni2 structure (PBE, OQMD via LeMat-Bulk).

Values from the calculation:
Crystal system: orthorhombic
Total magnetization: 0.0 μB per formula unit
Final energy: -5.684 eV/atom
V: 16.69 Å³/atom
SG: No. 38

a = 6.6878 Å, b = 5.2926 Å, c = 5.2926 Å
α = 45.46°, β = 90.00°, γ = 90.00°
With the nearest neighbours (Å) after each atom.
Atoms (fractional coordinates):
Gd 0.0000 0.0000 0.0000  3 Ni 2.74-2.96, 4 Al 3.00
Hf 0.5000 0.1336 0.1336  1 Ni 2.68, 4 Al 2.93
Al 0.2065 0.7110 0.7110  3 Ni 2.44-2.56
Al 0.3071 0.4195 0.4195  3 Ni 2.46-2.49, 1 Al 2.58
Al 0.6929 0.4195 0.4195  3 Ni 2.46-2.49, 1 Al 2.58
Al 0.7935 0.7110 0.7110  3 Ni 2.44-2.56
Ni 0.0000 0.2805 0.2805  6 Al 2.46-2.56, 1 Gd 2.74
Ni 0.5000 0.8596 0.8596  6 Al 2.44-2.49, 1 Hf 2.68


[5]
# GdHfAl2Pd4

A geometry-optimized GdHfAl2Pd4 structure (PBE, OQMD via LeMat-Bulk).

Values from the calculation:
Crystal system: hexagonal
Total magnetization: 0.0 μB per formula unit
Final energy: -6.218 eV/atom
V: 18.14 Å³/atom
SG: No. 187

a = 4.3388 Å, b = 4.3388 Å, c = 8.9035 Å
α = 90.00°, β = 90.00°, γ = 120.00°
With the nearest neighbours (Å) after each atom.
Atoms (fractional coordinates):
Gd 0.0000 0.0000 0.0000  8 Pd 2.98-3.06
Hf 0.3333 0.6667 0.5000  8 Pd 2.84-2.87
Al 0.6667 0.3333 0.2665  6 Pd 2.60-2.62
Al 0.6667 0.3333 0.7335  6 Pd 2.60-2.62
Pd 0.0000 0.0000 0.3436  3 Al 2.60, 4 Pd 2.79-2.89, 3 Hf 2.87
Pd 0.0000 0.0000 0.6564  3 Al 2.60, 4 Pd 2.79-2.89, 3 Hf 2.87
Pd 0.3333 0.6667 0.1806  3 Al 2.62, 1 Hf 2.84, 3 Pd 2.89
Pd 0.3333 0.6667 0.8194  3 Al 2.62, 1 Hf 2.84, 3 Pd 2.89


[6]
# Gd2Al3Hg3

A geometry-optimized Gd2Al3Hg3 structure (PBE, OQMD via LeMat-Bulk).

Values from the calculation:
Crystal system: orthorhombic
Total magnetization: 0.0 μB per formula unit
ΔE to the lowest computed polymorph: 0.008 eV per atom
V: 21.99 Å³/atom
SG: No. 38

a = 4.8582 Å, b = 6.4519 Å, c = 6.4519 Å
α = 60.46°, β = 90.00°, γ = 90.00°
With the nearest neighbours (Å) after each atom.
Atoms (fractional coordinates):
Gd 0.0000 0.0000 0.0000  6 Hg 3.12-3.25, 6 Al 3.13-3.33
Gd 0.5000 0.3377 0.3377  6 Hg 3.07-3.32, 6 Al 3.19-3.25
Al 0.0000 0.5301 0.9693  3 Al 2.85-2.93, 3 Hg 2.97-3.06, 3 Gd 3.13-3.19
Al 0.0000 0.9693 0.5301  3 Al 2.85-2.93, 3 Hg 2.97-3.06, 3 Gd 3.13-3.19
Al 0.5000 0.8226 0.8226  4 Al 2.93, 2 Hg 2.99, 4 Gd 3.13-3.25
Hg 0.0000 0.5066 0.5066  4 Al 3.06-3.39, 4 Gd 3.07-3.25, 4 Hg 3.09
Hg 0.5000 0.3480 0.8474  3 Al 2.97-2.99, 4 Hg 3.09-3.25, 4 Gd 3.12-3.32
Hg 0.5000 0.8474 0.3480  3 Al 2.97-2.99, 4 Hg 3.09-3.25, 4 Gd 3.12-3.32


[7]
# GdAlHg

A geometry-optimized GdAlHg structure (PBE, OQMD via LeMat-Bulk).

Values from the calculation:
Crystal system: cubic
Total magnetization: 0.0 μB per formula unit
Final energy: -2.798 eV/atom
V: 28.21 Å³/atom
SG: No. 216

a = 4.9281 Å, b = 4.9281 Å, c = 4.9281 Å
α = 60.00°, β = 60.00°, γ = 60.00°
With the nearest neighbours (Å) after each atom.
Atoms (fractional coordinates):
Gd 0.0000 0.0000 0.0000  4 Al 3.02, 4 Hg 3.02
Al 0.7500 0.7500 0.7500  4 Gd 3.02
Hg 0.2500 0.2500 0.2500  4 Gd 3.02


[8]
# Gd2Al5Hg

A geometry-optimized Gd2Al5Hg structure (PBE, OQMD via LeMat-Bulk).

Values from the calculation:
Crystal system: orthorhombic
Total magnetization: 0.0 μB per formula unit
Final energy: -3.933 eV/atom
V: 20.74 Å³/atom
SG: No. 38

a = 4.6528 Å, b = 6.3669 Å, c = 6.3669 Å
α = 61.59°, β = 90.00°, γ = 90.00°
With the nearest neighbours (Å) after each atom.
Atoms (fractional coordinates):
Gd 0.0000 0.0000 0.0000  2 Hg 3.06, 10 Al 3.10-3.29
Gd 0.5000 0.3189 0.3189  10 Al 3.12-3.19, 2 Hg 3.26
Al 0.0000 0.5089 0.5089  6 Al 2.77-2.83
Al 0.0000 0.5131 0.9425  4 Al 2.77-2.83, 2 Hg 2.89
Al 0.0000 0.9425 0.5131  4 Al 2.77-2.83, 2 Hg 2.89
Al 0.5000 0.3636 0.7974  5 Al 2.83, 1 Hg 2.96, 2 Gd 3.10
Al 0.5000 0.7974 0.3636  5 Al 2.83, 1 Hg 2.96, 2 Gd 3.10
Hg 0.5000 0.8182 0.8182  6 Al 2.89-2.96, 2 Gd 3.06